*P*
# CaY2Ru

An optimized crystal structure of CaY2Ru (PBE-GGA, Alexandria via LeMat-Bulk). Values from VASP.

Properties
SG: Amm2, No. 38
D(E_F): 1.033 states/eV/atom

The structure in Quantum ESPRESSO input format:
```
&SYSTEM
  ibrav = 0, nat = 4, ntyp = 3
/
ATOMIC_SPECIES
Ca 40.08 Ca.upf
Y 88.91 Y.upf
Ru 101.07 Ru.upf
ATOMIC_POSITIONS crystal
Ca 0.000 0.000 0.000
Y 0.000 0.315 0.315
Y 0.500 0.670 0.670
Ru 0.500 0.838 0.838
CELL_PARAMETERS angstrom
3.593 0.000 0.000
0.000 2.184 7.762
0.000 -2.184 7.762
```

=====

*Q*
# CaY2Ru

An optimized crystal structure of CaY2Ru (PBE-GGA, Alexandria via LeMat-Bulk). Values from VASP.

Properties
SG: P4/mmm, No. 123
D(E_F): 0.846 states/eV/atom

The structure in Quantum ESPRESSO input format:
```
&SYSTEM
  ibrav = 0, nat = 4, ntyp = 3
/
ATOMIC_SPECIES
Ca 40.08 Ca.upf
Y 88.91 Y.upf
Ru 101.07 Ru.upf
ATOMIC_POSITIONS crystal
Ca 0.000 0.000 0.000
Y 0.500 0.500 0.328
Y 0.500 0.500 0.672
Ru 0.000 0.000 0.500
CELL_PARAMETERS angstrom
3.455 0.000 0.000
0.000 3.455 0.000
0.000 0.000 9.570
```

=====

We find *Q* to be the most stable, with the next structure 15.7 kJ/mol of atoms higher.

=====

*P*
# Ca2YRu

An optimized crystal structure of Ca2YRu (PBE-GGA, Alexandria via LeMat-Bulk). Values from VASP.

Properties
SG: Immm, No. 71
D(E_F): 0.949 states/eV/atom

The structure in Quantum ESPRESSO input format:
```
&SYSTEM
  ibrav = 0, nat = 4, ntyp = 3
/
ATOMIC_SPECIES
Ca 40.08 Ca.upf
Y 88.91 Y.upf
Ru 101.07 Ru.upf
ATOMIC_POSITIONS crystal
Ca 0.161 0.161 0.000
Ca 0.839 0.839 0.000
Y 0.500 0.000 0.500
Ru 0.000 0.500 0.500
CELL_PARAMETERS angstrom
-1.714 2.321 7.743
1.714 -2.321 7.743
1.714 2.321 -7.743
```

=====

*Q*
# Ca2YRu

An optimized crystal structure of Ca2YRu (PBE-GGA, Alexandria via LeMat-Bulk). Values from VASP.

Properties
SG: Fm-3m, No. 225
D(E_F): 1.352 states/eV/atom

The structure in Quantum ESPRESSO input format:
```
&SYSTEM
  ibrav = 0, nat = 4, ntyp = 3
/
ATOMIC_SPECIES
Ca 40.08 Ca.upf
Y 88.91 Y.upf
Ru 101.07 Ru.upf
ATOMIC_POSITIONS crystal
Ca 0.250 0.250 0.250
Ca 0.750 0.750 0.750
Y 0.000 0.000 0.000
Ru 0.500 0.500 0.500
CELL_PARAMETERS angstrom
0.000 3.701 3.701
3.701 0.000 3.701
3.701 3.701 0.000
```

=====

*R*
# Ca2YRu

An optimized crystal structure of Ca2YRu (PBE-GGA, Alexandria via LeMat-Bulk). Values from VASP.

Properties
SG: P4/mmm, No. 123
D(E_F): 0.929 states/eV/atom

The structure in Quantum ESPRESSO input format:
```
&SYSTEM
  ibrav = 0, nat = 4, ntyp = 3
/
ATOMIC_SPECIES
Ca 40.08 Ca.upf
Y 88.91 Y.upf
Ru 101.07 Ru.upf
ATOMIC_POSITIONS crystal
Ca 0.000 0.500 0.000
Ca 0.500 0.000 0.000
Y 0.000 0.000 0.500
Ru 0.500 0.500 0.500
CELL_PARAMETERS angstrom
4.387 0.000 0.000
0.000 4.387 0.000
0.000 0.000 5.291
```

=====

We find *P* to be the most stable, with the next structure 20.0 kJ/mol of atoms higher.

=====

*P*
# Ca3YRu

An optimized crystal structure of Ca3YRu (PBE-GGA, Alexandria via LeMat-Bulk). Values from VASP.

Properties
SG: Pm-3m, No. 221
D(E_F): 1.040 states/eV/atom

The structure in Quantum ESPRESSO input format:
```
&SYSTEM
  ibrav = 0, nat = 5, ntyp = 3
/
ATOMIC_SPECIES
Ca 40.08 Ca.upf
Y 88.91 Y.upf
Ru 101.07 Ru.upf
ATOMIC_POSITIONS crystal
Ca 0.000 0.000 0.500
Ca 0.000 0.500 0.000
Ca 0.500 0.000 0.000
Y 0.500 0.500 0.500
Ru 0.000 0.000 0.000
CELL_PARAMETERS angstrom
5.468 0.000 0.000
0.000 5.468 0.000
0.000 0.000 5.468
```

=====

*Q*
# Ca3YRu

An optimized crystal structure of Ca3YRu (PBE-GGA, Alexandria via LeMat-Bulk). Values from VASP.

Properties
SG: Pm-3m, No. 221
D(E_F): 0.635 states/eV/atom

The structure in Quantum ESPRESSO input format:
```
&SYSTEM
  ibrav = 0, nat = 5, ntyp = 3
/
ATOMIC_SPECIES
Ca 40.08 Ca.upf
Y 88.91 Y.upf
Ru 101.07 Ru.upf
ATOMIC_POSITIONS crystal
Ca 0.000 0.000 0.500
Ca 0.000 0.500 0.000
Ca 0.500 0.000 0.000
Y 0.000 0.000 0.000
Ru 0.500 0.500 0.500
CELL_PARAMETERS angstrom
5.740 0.000 0.000
0.000 5.740 0.000
0.000 0.000 5.740
```

=====

We find *P* to be the most stable, with the next structure 133.3 kJ/mol of atoms higher.